DFT (SCAN) results for La2BeAg at its PBEsol-relaxed geometry. Values from VASP.

Structure (Quantum ESPRESSO input):
```
&SYSTEM
  ibrav = 0, nat = 4, ntyp = 3
/
ATOMIC_SPECIES
La 138.91 La.upf
Ag 107.87 Ag.upf
Be 9.01 Be.upf
ATOMIC_POSITIONS crystal
La 0.029 0.000 0.934
La 0.719 0.500 0.313
Ag 0.321 0.000 0.517
Be 0.431 0.500 0.736
CELL_PARAMETERS angstrom
3.733 0.000 -0.139
0.000 4.419 0.000
-1.646 0.000 5.965
```

Summary:
ΔE_f, eV/atom: -0.034
N(E_F), states/eV per cell: 3.87
Space group: No. 38
Final energy, eV/atom: -30.516